1 | {
  "formula": "RbPBrCl2",
  "functional": "GGA-PBE",
  "state": "relaxed",
  "lattice": [[-1.2819, 5.7692, -1.3970], [-5.9118, -1.1120, 0.8324], [0.8114, 2.3292, 8.8741]],
  "species": ["Rb", "Cl", "Cl", "Br", "P"],
  "frac_coords": [[0.0000, 0.0000, 0.0000], [0.5000, 0.0000, 0.0000], [0.0000, 0.5000, 0.0000], [0.5000, 0.5000, 0.5000], [0.0000, 0.0000, 0.5000]]
}



2 | {
  "formula": "RbPBrCl2",
  "functional": "GGA-PBE",
  "state": "relaxed",
  "lattice": [[6.1723, 0.0000, 0.0000], [0.0000, 6.1723, 0.0000], [0.0000, 0.0000, 4.6315]],
  "species": ["Cl", "Cl", "Rb", "Br", "P"],
  "frac_coords": [[0.0000, 0.5000, 0.0000], [0.5000, 0.0000, 0.0000], [0.5000, 0.5000, 0.5000], [0.0000, 0.0000, 0.0000], [0.0000, 0.0000, 0.5000]]
}



The structure with the most favorable energy is 2; the runner-up is 0.597 eV/atom above it.